Record 1
VASP calculation (GGA-PBE) on a geometry-optimized SrMgZnS2 structure.

abc: 5.0123 5.0123 4.8167
angles: 90.00 90.00 90.00
Closest atoms and distances in Å follow each position.
Space group P4/mmm (No. 123)
One atom of each set of equivalent atoms:
Sr 0.0000 0.0000 0.0000 (multiplicity 1)  8 S 3.48, 4 Zn 3.54
Mg 0.5000 0.5000 0.5000 (multiplicity 1)  2 Zn 2.41, 4 S 2.51
Zn 0.5000 0.5000 0.0000 (multiplicity 1)  2 Mg 2.41
S 0.0000 0.5000 0.5000 (multiplicity 2)  2 Mg 2.51

VASP energy = -3.34 eV/atom
Total magnetic moment = 0.0 μB per formula unit
Uncorrected formation energy = -0.775 eV/atom

---

Record 2
VASP calculation (GGA-PBE) on a geometry-optimized MgTa3S6 structure.

abc: 8.8161 3.3225 12.6253
angles: 90.00 101.10 90.00
Closest atoms and distances in Å follow each position.
Space group P2_1/m (No. 11)
One atom of each set of equivalent atoms:
Mg 0.0334 0.2500 0.1473 (multiplicity 2)  6 S 2.47-2.71
Ta 0.1210 0.2500 0.5756 (multiplicity 2)  6 S 2.44-2.64
Ta 0.3624 0.2500 0.3873 (multiplicity 2)  7 S 2.48-2.63
Ta 0.3805 0.7500 0.0399 (multiplicity 2)  5 S 2.42-2.54
S 0.1377 0.7500 0.7194 (multiplicity 2)  2 Ta 2.44, 1 Mg 2.47
S 0.1575 0.7500 0.4338 (multiplicity 2)  5 Ta 2.44-2.60
S 0.1618 0.2500 0.9832 (multiplicity 2)  2 Ta 2.54, 3 Mg 2.55-2.71
S 0.2679 0.7500 0.2262 (multiplicity 2)  3 Ta 2.63-2.72, 2 Mg 2.69
S 0.4253 0.2500 0.5982 (multiplicity 2)  4 Ta 2.48-2.64
S 0.4480 0.7500 0.8622 (multiplicity 2)  3 Ta 2.42-2.43

VASP energy = -7.14 eV/atom
Total magnetic moment = 0.4 μB per formula unit
Uncorrected formation energy = -0.943 eV/atom

---

Record 3
VASP calculation (GGA-PBE) on a geometry-optimized MgTa2S5 structure.

abc: 4.4804 13.5117 13.6172
angles: 90.00 90.00 90.00
Closest atoms and distances in Å follow each position.
Space group Fmmm (No. 69)
One atom of each set of equivalent atoms:
Mg 0.0000 0.0000 0.0000 (multiplicity 4)  2 S 2.24
Ta 0.0000 0.1832 0.5000 (multiplicity 8)  7 S 2.45-2.70
S 0.0000 0.0000 0.5000 (multiplicity 4)  2 Mg 2.24, 2 Ta 2.48
S 0.0000 0.1733 0.1103 (multiplicity 16)  3 Ta 2.45-2.70

VASP energy = -6.52 eV/atom
Total magnetic moment = 0.0 μB per formula unit
Uncorrected formation energy = -0.776 eV/atom

---

Record 4
VASP calculation (GGA-PBE) on a geometry-optimized MgTa2S4 structure.

abc: 7.2346 8.1258 8.8229
angles: 90.00 90.00 90.00
Closest atoms and distances in Å follow each position.
Space group Imm2 (No. 44)
One atom of each set of equivalent atoms:
Mg 0.0000 0.0000 0.0000 (multiplicity 2)  4 S 2.49-2.51
Mg 0.0000 0.5000 0.4293 (multiplicity 2)  4 S 2.32-2.57
Ta 0.0000 0.2199 0.6657 (multiplicity 4)  4 S 2.45-2.59
Ta 0.2116 0.0000 0.4573 (multiplicity 4)  6 S 2.42-2.67
S 0.0000 0.2178 0.3879 (multiplicity 4)  1 Mg 2.32, 3 Ta 2.42-2.45
S 0.0000 0.3043 0.9492 (multiplicity 4)  1 Mg 2.51, 3 Ta 2.59-2.62
S 0.2161 0.5000 0.6605 (multiplicity 4)  2 Mg 2.49-2.57, 3 Ta 2.67-2.76
S 0.2250 0.0000 0.7335 (multiplicity 4)  3 Ta 2.44-2.49, 1 Mg 2.63

VASP energy = -6.98 eV/atom
Total magnetic moment = 0.0 μB per formula unit
Uncorrected formation energy = -1.004 eV/atom

---

Record 5
VASP calculation (GGA-PBE) on a geometry-optimized MgTaTiS2 structure.

abc: 4.6783 4.6783 5.3433
angles: 90.00 90.00 90.00
Closest atoms and distances in Å follow each position.
Space group P4/mmm (No. 123)
One atom of each set of equivalent atoms:
Mg 0.0000 0.0000 0.0000 (multiplicity 1)  2 Ta 2.67
Ta 0.0000 0.0000 0.5000 (multiplicity 1)  4 S 2.34
Ti 0.5000 0.5000 0.0000 (multiplicity 1)  4 Mg 3.31, 8 S 3.55
S 0.0000 0.5000 0.5000 (multiplicity 2)  2 Ta 2.34

VASP energy = -5.49 eV/atom
Total magnetic moment = 0.0 μB per formula unit
Uncorrected formation energy = 0.427 eV/atom

---

Record 6
VASP calculation (GGA-PBE) on a geometry-optimized Tb2MgS4 structure.

abc: 3.8077 12.5441 12.9160
angles: 90.00 90.00 90.00
Closest atoms and distances in Å follow each position.
Space group Cmc2_1 (No. 36)
One atom of each set of equivalent atoms:
Tb 0.0000 0.1189 0.0000 (multiplicity 4)  7 S 2.73-3.01
Tb 0.0000 0.3615 0.7975 (multiplicity 4)  6 S 2.72-2.78
Mg 0.0000 0.3749 0.1609 (multiplicity 4)  6 S 2.55-2.66
S 0.0000 0.0135 0.2090 (multiplicity 4)  2 Mg 2.65, 2 Tb 2.72
S 0.0000 0.2600 0.6105 (multiplicity 4)  2 Mg 2.63, 3 Tb 2.73-2.82
S 0.0000 0.2906 0.3502 (multiplicity 4)  1 Mg 2.66, 4 Tb 2.78-2.94
S 0.0000 0.4636 0.9831 (multiplicity 4)  1 Mg 2.55, 3 Tb 2.72-2.73

VASP energy = -5.79 eV/atom
Total magnetic moment = 0.0 μB per formula unit
Uncorrected formation energy = -1.877 eV/atom
Energy above the most stable polymorph in this dataset = 0.0047 eV per atom

---

Record 7
VASP calculation (GGA-PBE) on a geometry-optimized Tb2MgS4 structure.

abc: 7.9709 7.2575 11.5220
angles: 90.00 90.00 90.00
Closest atoms and distances in Å follow each position.
Space group Pnma (No. 62)
One atom of each set of equivalent atoms:
Tb 0.0421 0.2500 0.1896 (multiplicity 4)  5 S 2.71-2.89
Tb 0.0742 0.7500 0.4771 (multiplicity 4)  6 S 2.59-2.89
Mg 0.1831 0.7500 0.0902 (multiplicity 4)  4 S 2.33-2.47
S 0.1023 0.2500 0.9535 (multiplicity 4)  1 Mg 2.33, 1 Tb 2.59
S 0.1312 0.5009 0.6561 (multiplicity 8)  1 Mg 2.47
S 0.2207 0.2500 0.3898 (multiplicity 4)  1 Mg 2.43, 2 Tb 2.71-2.72

VASP energy = -5.58 eV/atom
Total magnetic moment = 0.0 μB per formula unit
Uncorrected formation energy = -1.668 eV/atom
Energy above the most stable polymorph in this dataset = 0.2132 eV per atom

---

Record 8
VASP calculation (GGA-PBE) on a geometry-optimized Tb4MgS5 structure.

abc: 8.6923 8.6923 5.5188
angles: 90.00 90.00 90.00
Closest atoms and distances in Å follow each position.
Space group I4/m (No. 87)
One atom of each set of equivalent atoms:
Tb 0.0969 0.6958 0.0000 (multiplicity 8)  6 S 2.74-2.86
Mg 0.0000 0.0000 0.5000 (multiplicity 2)  6 S 2.60-2.76
S 0.0000 0.0000 0.0000 (multiplicity 2)  2 Mg 2.76, 4 Tb 2.78
S 0.0964 0.7168 0.5000 (multiplicity 8)  1 Mg 2.60, 5 Tb 2.74-2.86

VASP energy = -5.92 eV/atom
Total magnetic moment = 0.0 μB per formula unit
Uncorrected formation energy = -1.847 eV/atom